Record 1
# La3CdPb (GGA-PBE, relaxed)
# Raw total energy = -3.732 eV per atom
# Energy relative to the lowest polymorph listed for this composition = 0.000 eV/atom
# Magnetic moment = 0.000 μB/f.u.
data_La3CdPb
_chemical_formula_sum 'La3 Cd1 Pb1'
_cell_length_a 5.898
_cell_length_b 5.898
_cell_length_c 5.898
_cell_angle_alpha 90.00
_cell_angle_beta 90.00
_cell_angle_gamma 90.00
_symmetry_space_group_name_H-M 'P m -3 m'
_symmetry_Int_Tables_number 221
_symmetry_space_group_name_Hall '-P 4 2 3'
loop_
_atom_site_label
_atom_site_type_symbol
_atom_site_fract_x
_atom_site_fract_y
_atom_site_fract_z
La1 La 0.000 0.000 0.500
Cd1 Cd 0.000 0.000 0.000
Pb1 Pb 0.500 0.500 0.500

---

Record 2
# Zr2InW (GGA-PBE, relaxed)
# Raw total energy = -8.195 eV per atom
# Magnetic moment = 0.000 μB/f.u.
data_Zr2InW
_chemical_formula_sum 'Zr4 In2 W2'
_cell_length_a 3.574
_cell_length_b 4.944
_cell_length_c 9.424
_cell_angle_alpha 90.00
_cell_angle_beta 90.00
_cell_angle_gamma 90.00
_symmetry_space_group_name_H-M 'C m m m'
_symmetry_Int_Tables_number 65
_symmetry_space_group_name_Hall '-C 2 2'
loop_
_atom_site_label
_atom_site_type_symbol
_atom_site_fract_x
_atom_site_fract_y
_atom_site_fract_z
Zr1 Zr 0.000 0.000 0.228
In1 In 0.000 0.500 0.500
W1 W 0.000 0.500 0.000